Entry 1:
Entry from Alexandria: a relaxed Ho3Th2Os2 crystal (PBE-GGA).

## Properties
Energy of formation from the pure elements in meV per atom: -259
Theoretical density in Mg/m³: 11.89
Density of states at the Fermi level in states/eV per cell: 14.691
Total DFT energy (no corrections) in eV/atom: -7.55

Geometry as POSCAR:
```
Ho3Th2Os2
1.0
12.223 0.000 0.000
0.000 3.936 0.000
-3.031 0.000 7.773
Ho Th Os
6 4 4
Cartesian
0.000 0.000 0.000
0.259 0.000 3.287
2.821 1.968 4.486
6.112 1.968 0.000
6.371 1.968 3.287
8.933 0.000 4.486
-0.502 1.968 6.271
3.582 0.000 1.503
5.610 0.000 6.271
9.694 1.968 1.503
1.632 1.968 1.595
1.448 0.000 6.178
7.744 0.000 1.595
7.560 1.968 6.178
```

---

Entry 2:
Entry from Alexandria: a relaxed Rb2BaSnBr6 crystal (PBE-GGA).

## Properties
Theoretical density in Mg/m³: 3.63
Relative energy among the computed polymorphs in meV per atom: 0
Density of states at the Fermi level in states/eV per cell: 0.000
E_form (uncorrected) in eV/atom: -1.589
Total DFT energy (no corrections) in eV/atom: -3.38

Geometry as POSCAR:
```
Rb2BaSnBr6
1.0
8.172 0.000 0.000
0.000 8.619 0.000
-7.982 0.000 11.765
Rb Ba Sn Br
4 2 2 12
Cartesian
-0.180 0.643 2.911
-4.171 3.667 8.794
4.360 4.952 2.971
0.369 7.976 8.854
4.086 0.000 0.000
0.095 4.310 5.882
-3.991 0.000 5.882
0.000 4.310 0.000
-6.485 1.792 11.025
-2.494 2.518 5.142
-5.578 5.960 11.044
-1.587 6.968 5.162
-2.967 0.363 8.695
1.023 3.946 2.812
-0.834 4.673 8.952
3.157 8.256 3.070
1.777 1.651 6.603
5.768 2.659 0.720
2.683 6.102 6.622
6.674 6.827 0.740
```